Record 1
Here is a relaxed structure of BaBe2Rh from the Alexandria database. Energies are from GGA-PBE.

Results
**Formation energy**: 0.8542 eV/atom
**E above lowest polymorph**: 1044.6 meV/atom
**Raw total energy**: -13.3 eV/cell

```
BaBe2Rh
1.0
4.793 0.000 0.000
0.000 4.793 0.000
0.000 0.000 3.019
Ba Be Rh
1 2 1
direct
0.000 0.000 0.000
0.000 0.500 0.500
0.500 0.000 0.500
0.500 0.500 0.000
```



Record 2
Here is a relaxed structure of Ba2HfZrGe from the Alexandria database. Energies are from GGA-PBE.

Results
**Formation energy**: 0.9988 eV/atom
**Raw total energy**: -22.0 eV/cell

```
Ba2HfZrGe
1.0
6.189 0.000 0.000
0.000 6.189 0.000
0.000 0.000 5.148
Ba Hf Zr Ge
2 1 1 1
direct
0.000 0.500 0.000
0.500 0.000 0.000
0.000 0.000 0.500
0.000 0.000 0.000
0.500 0.500 0.500
```



Record 3
Here is a relaxed structure of MgBAu3 from the Alexandria database. Energies are from GGA-PBE.

Results
**Formation energy**: -0.0040 eV/atom
**E above lowest polymorph**: 0.0 meV/atom
**Raw total energy**: -18.1 eV/cell

```
MgBAu3
1.0
4.412 0.000 0.000
0.000 4.412 0.000
0.000 0.000 4.412
Mg B Au
1 1 3
direct
0.000 0.000 0.000
0.500 0.500 0.500
0.000 0.500 0.500
0.500 0.000 0.500
0.500 0.500 0.000
```



Record 4
Here is a relaxed structure of Tm5Pu3Al12 from the Alexandria database. Energies are from GGA-PBE.

Results
**Formation energy**: 0.4820 eV/atom
**Raw total energy**: -402.5 eV/cell

```
Tm5Pu3Al12
1.0
-8.456 8.456 8.456
8.456 -8.456 8.456
8.456 8.456 -8.456
Tm Pu Al
20 12 48
direct
0.000 0.000 0.000
0.000 0.000 0.500
0.000 0.500 0.000
0.000 0.500 0.500
0.125 0.750 0.875
0.125 0.875 0.250
0.250 0.125 0.875
0.250 0.625 0.375
0.375 0.250 0.625
0.375 0.625 0.750
0.500 0.000 0.000
0.500 0.000 0.500
0.500 0.500 0.000
0.500 0.500 0.500
0.625 0.375 0.250
0.625 0.750 0.375
0.750 0.375 0.625
0.750 0.875 0.125
0.875 0.125 0.750
0.875 0.250 0.125
0.125 0.250 0.375
0.125 0.375 0.750
0.250 0.375 0.125
0.250 0.875 0.625
0.375 0.125 0.250
0.375 0.750 0.125
0.625 0.250 0.875
0.625 0.875 0.750
0.750 0.125 0.375
0.750 0.625 0.875
0.875 0.625 0.250
0.875 0.750 0.625
0.070 0.728 0.641
0.070 0.843 0.429
0.071 0.657 0.430
0.071 0.914 0.641
0.086 0.228 0.157
0.086 0.359 0.929
0.141 0.228 0.570
0.141 0.414 0.571
0.157 0.086 0.228
0.157 0.571 0.930
0.228 0.157 0.086
0.228 0.570 0.141
0.272 0.359 0.930
0.272 0.414 0.343
0.343 0.272 0.414
0.343 0.570 0.929
0.359 0.929 0.086
0.359 0.930 0.272
0.414 0.343 0.272
0.414 0.571 0.141
0.429 0.070 0.843
0.429 0.859 0.586
0.430 0.071 0.657
0.430 0.859 0.772
0.570 0.141 0.228
0.570 0.929 0.343
0.571 0.141 0.414
0.571 0.930 0.157
0.586 0.429 0.859
0.586 0.657 0.728
0.641 0.070 0.728
0.641 0.071 0.914
0.657 0.430 0.071
0.657 0.728 0.586
0.728 0.586 0.657
0.728 0.641 0.070
0.772 0.430 0.859
0.772 0.843 0.914
0.843 0.429 0.070
0.843 0.914 0.772
0.859 0.586 0.429
0.859 0.772 0.430
0.914 0.641 0.071
0.914 0.772 0.843
0.929 0.086 0.359
0.929 0.343 0.570
0.930 0.157 0.571
0.930 0.272 0.359
```



Record 5
Here is a relaxed structure of Ba6NiHg from the Alexandria database. Energies are from GGA-PBE.

Results
**Formation energy**: -0.1101 eV/atom
**Raw total energy**: -37.0 eV/cell

```
Ba6NiHg
1.0
7.989 0.000 0.000
-3.994 6.919 0.000
0.000 0.000 15.376
Ba Ni Hg
12 2 2
direct
0.010 0.322 0.119
0.010 0.688 0.381
0.312 0.322 0.381
0.312 0.990 0.119
0.322 0.010 0.619
0.322 0.312 0.881
0.678 0.688 0.119
0.678 0.990 0.381
0.688 0.010 0.881
0.688 0.678 0.619
0.990 0.312 0.619
0.990 0.678 0.881
0.000 0.000 0.000
0.000 0.000 0.500
0.333 0.667 0.750
0.667 0.333 0.250
```



Record 6
Here is a relaxed structure of CaEr3Rh8 from the Alexandria database. Energies are from GGA-PBE.

Results
**Formation energy**: -0.6881 eV/atom
**Raw total energy**: -82.8 eV/cell

```
CaEr3Rh8
1.0
2.659 1.535 8.707
-2.659 1.535 8.707
0.000 -3.070 8.707
Ca Er Rh
1 3 8
direct
0.000 0.000 0.000
0.124 0.124 0.124
0.501 0.501 0.501
0.627 0.627 0.627
0.063 0.063 0.561
0.063 0.561 0.063
0.065 0.563 0.563
0.313 0.313 0.313
0.561 0.063 0.063
0.563 0.065 0.563
0.563 0.563 0.065
0.813 0.813 0.813
```



Record 7
Here is a relaxed structure of BiHRu3 from the Alexandria database. Energies are from GGA-PBE.

Results
**E above lowest polymorph**: 0.0 meV/atom
**Raw total energy**: -33.2 eV/cell

```
BiHRu3
1.0
4.071 0.000 0.000
0.000 4.071 0.000
0.000 0.000 4.071
Bi H Ru
1 1 3
direct
0.000 0.000 0.000
0.500 0.500 0.500
0.000 0.500 0.500
0.500 0.000 0.500
0.500 0.500 0.000
```



Record 8
Here is a relaxed structure of ZnFeBr2 from the Alexandria database. Energies are from GGA-PBE.

Results
**Raw formation energy**: -0.061 eV/atom
**E above lowest polymorph**: 36.8 meV/atom
**Raw total energy**: -26.7 eV/cell

```
ZnFeBr2
1.0
3.455 0.000 0.000
0.000 4.012 0.000
0.000 0.000 14.359
Zn Fe Br
2 2 4
direct
0.000 0.000 0.000
0.500 0.500 0.500
0.000 0.000 0.500
0.500 0.500 0.000
0.000 0.500 0.136
0.000 0.500 0.864
0.500 0.000 0.364
0.500 0.000 0.636
```



Table of total magnetic moment (Bohr magnetons per cell), in record order: 0.0 0.0 0.0 69.8 0.0 0.0 1.2 5.8